First-principles (PBE-GGA) data for a relaxed ScFe4As crystal, as listed in Alexandria.

Lattice parameters (Å, degrees): 4.8484 4.8484 4.8484 60.00 60.00 60.00
Each line ends with the local moment (μB).
Sites, in units of the cell vectors:
Fe: 0.1246 0.6251 0.6251  1.95
Fe: 0.6251 0.1246 0.6251  1.95
Fe: 0.6251 0.6251 0.6251  1.95
Fe: 0.6251 0.6251 0.1246  1.95
Sc: 0.2500 0.2500 0.2500  -0.35
As: 0.0000 0.0000 0.0000  0.02

Results
DFT formation energy = -8.5 kJ/mol of atoms
space-group type = F-43m (216)
electronic total energy = -7.560 eV/atom